Record 1
Entry from the Alexandria database: a PBEsol-optimized structure of Cd3In4 (SCAN).

Computed properties:
As for the crystal system: hexagonal. For the relative energy among the computed polymorphs, the calculation gives 0 meV per atom. Its space group is P6/mmm. The density of states at the Fermi level is 2.2 states/eV per cell.

Cell lengths 5.701, 5.701, 6.000 Å; angles 90.00, 90.00, 120.00 degrees
Sites, in units of the cell vectors:
Cd: 0.000 0.500 0.000
Cd: 0.500 0.000 0.000
Cd: 0.500 0.500 0.000
In: 0.000 0.000 0.742
In: 0.000 0.000 0.258
In: 0.333 0.667 0.500
In: 0.667 0.333 0.500

Record 2
Entry from the Alexandria database: a PBEsol-optimized structure of Cd5In3 (SCAN).

Computed properties:
As for the crystal system: orthorhombic. For the relative energy among the computed polymorphs, the calculation gives 24 meV per atom. Its space group is Fmmm. The density of states at the Fermi level is 5.6 states/eV per cell.

Cell lengths 5.776, 7.676, 9.497 Å; angles 83.43, 72.29, 67.90 degrees
Sites, in units of the cell vectors:
Cd: 0.755 0.000 0.000
Cd: 0.245 0.000 0.000
Cd: 0.748 0.307 0.196
Cd: 0.252 0.693 0.804
Cd: 0.755 0.788 0.702
Cd: 0.245 0.212 0.298
Cd: 0.945 0.307 0.804
Cd: 0.055 0.693 0.196
Cd: 0.457 0.788 0.298
Cd: 0.543 0.212 0.702
In: 0.250 0.500 0.500
In: 0.750 0.500 0.500
In: 0.205 0.000 0.591
In: 0.795 0.000 0.409
In: 0.314 0.371 0.000
In: 0.686 0.629 0.000

Record 3
Entry from the Alexandria database: a PBEsol-optimized structure of CdIn2 (SCAN).

Computed properties:
As for the crystal system: cubic. Its space group is Fm-3m. The density of states at the Fermi level is 1.1 states/eV per cell.

Cell lengths 4.802, 4.802, 4.802 Å; angles 60.00, 60.00, 60.00 degrees
Sites, in units of the cell vectors:
In: 0.750 0.750 0.750
In: 0.250 0.250 0.250
Cd: 0.000 0.000 0.000

Record 4
Entry from the Alexandria database: a PBEsol-optimized structure of CdIn2 (SCAN).

Computed properties:
As for the crystal system: monoclinic. Its space group is Cm. The density of states at the Fermi level is 2.5 states/eV per cell.

Cell lengths 3.288, 6.000, 8.108 Å; angles 109.28, 90.00, 105.90 degrees
Sites, in units of the cell vectors:
Cd: 0.999 0.998 0.020
Cd: 0.669 0.338 0.336
In: 0.349 0.698 0.680
In: 0.380 0.760 0.268
In: 0.062 0.124 0.593
In: 0.708 0.415 0.936

Record 5
Entry from the Alexandria database: a PBEsol-optimized structure of Cd4In (SCAN).

Computed properties:
As for the crystal system: cubic. For the relative energy among the computed polymorphs, the calculation gives 196 meV per atom. Its space group is Im-3m. The density of states at the Fermi level is 1.8 states/eV per cell.

Cell lengths 5.590, 5.590, 5.590 Å; angles 109.47, 109.47, 109.47 degrees
Sites, in units of the cell vectors:
Cd: 0.000 0.000 0.500
Cd: 0.000 0.500 0.000
Cd: 0.500 0.000 0.000
Cd: 0.500 0.500 0.500
In: 0.000 0.000 0.000

Record 6
Entry from the Alexandria database: a PBEsol-optimized structure of Cd3In4 (SCAN).

Computed properties:
As for the crystal system: tetragonal. For the relative energy among the computed polymorphs, the calculation gives 18 meV per atom. Its space group is I4/mmm. The density of states at the Fermi level is 2.3 states/eV per cell.

Cell lengths 3.756, 3.756, 12.159 Å; angles 98.88, 98.88, 90.00 degrees
Sites, in units of the cell vectors:
Cd: 0.000 0.000 0.000
Cd: 0.717 0.717 0.435
Cd: 0.283 0.283 0.565
In: 0.853 0.853 0.705
In: 0.147 0.147 0.295
In: 0.571 0.571 0.143
In: 0.429 0.429 0.857

Record 7
Entry from the Alexandria database: a PBEsol-optimized structure of Cd17In12 (SCAN).

Computed properties:
As for the crystal system: cubic. Its space group is I-43m. The density of states at the Fermi level is 11.4 states/eV per cell.

Cell lengths 9.554, 9.554, 9.554 Å; angles 109.47, 109.47, 109.47 degrees
Sites, in units of the cell vectors:
Cd: 0.725 0.419 0.419
Cd: 0.275 0.694 0.694
Cd: 0.000 0.306 0.581
Cd: 0.000 0.581 0.306
Cd: 0.419 0.725 0.419
Cd: 0.694 0.275 0.694
Cd: 0.581 0.000 0.306
Cd: 0.306 0.000 0.581
Cd: 0.419 0.419 0.725
Cd: 0.694 0.694 0.275
Cd: 0.306 0.581 0.000
Cd: 0.581 0.306 0.000
Cd: 0.670 0.670 0.670
Cd: 0.330 0.000 0.000
Cd: 0.000 0.000 0.330
Cd: 0.000 0.330 0.000
Cd: 0.000 0.000 0.000
In: 0.194 0.389 0.389
In: 0.806 0.194 0.194
In: 0.000 0.806 0.611
In: 0.000 0.611 0.806
In: 0.389 0.194 0.389
In: 0.194 0.806 0.194
In: 0.611 0.000 0.806
In: 0.806 0.000 0.611
In: 0.389 0.389 0.194
In: 0.194 0.194 0.806
In: 0.806 0.611 0.000
In: 0.611 0.806 0.000

Record 8
Entry from the Alexandria database: a PBEsol-optimized structure of CdIn3 (SCAN).

Computed properties:
As for the crystal system: orthorhombic. Its space group is Pmmm. The density of states at the Fermi level is 1.5 states/eV per cell.

Cell lengths 3.257, 4.492, 6.601 Å; angles 90.00, 90.00, 90.00 degrees
Sites, in units of the cell vectors:
In: 0.500 0.500 0.757
In: 0.000 0.000 0.500
In: 0.500 0.500 0.243
Cd: 0.000 0.000 0.000

no.,ΔE_f (meV per atom),electronic total energy (eV/atom)
1,81.9,-32.031
2,81.8,-31.447
3,37.2,-32.359
4,85.7,-32.310
5,234.1,-30.775
6,99.5,-32.013
7,82.0,-31.562
8,72.3,-32.571